The following is a DFT calculation (PBE) of crystalline InTc2Se at its relaxed geometry.

a = 3.0442 Å, b = 3.0442 Å, c = 24.9263 Å
α = 90.00°, β = 90.00°, γ = 120.00°
Space group R-3m (No. 166, hexagonal axes)
Asymmetric unit:
In 0.0000 0.0000 0.0000
Tc 0.0000 0.0000 0.2408
Se 0.0000 0.0000 0.5000

Results
The energy relative to the elements, uncorrected is 0.282 eV per atom. The calculation puts the magnetization at 0.00 μB/f.u.